DFT (PBE) results for crystalline Pr2HoAu2 at its relaxed geometry.

Density: 9.874 Mg/m³
Total moment: 0.000 μB/f.u.
Formation energy: -59 kJ/mol of atoms

Cell lengths 4.0148, 6.4130, 6.4130 Å; angles 67.55, 71.76, 71.76 degrees
Closest atoms and distances in Å follow each position.
Fractional coordinates of all 5 atoms:
Ho  0.0000  0.0000  0.0000  4 Au 2.89
Au  0.5000  0.2910  0.7090  2 Ho 2.89, 1 Au 2.98, 4 Pr 3.18
Au  0.5000  0.7090  0.2910  2 Ho 2.89, 1 Au 2.98, 4 Pr 3.18
Pr  0.1993  0.3007  0.3007  4 Au 3.18
Pr  0.8007  0.6993  0.6993  4 Au 3.18

DFT (PBE) results for crystalline LaPIr2 at its relaxed geometry.

Density: 12.419 Mg/m³
Total moment: 0.005 μB/f.u.
Formation energy: 12 kJ/mol of atoms

Cell lengths 4.7150, 4.7150, 4.7150 Å; angles 60.00, 60.00, 60.00 degrees
Closest atoms and distances in Å follow each position.
Fractional coordinates of all 4 atoms:
P  0.7500  0.7500  0.7500  4 La 2.89, 4 Ir 2.89
Ir  0.2500  0.2500  0.2500  4 La 2.89, 4 Ir 2.89
Ir  0.0000  0.0000  0.0000  4 Ir 2.89, 4 P 2.89
La  0.5000  0.5000  0.5000  4 Ir 2.89, 4 P 2.89

DFT (PBE) results for crystalline Be4CrCd at its relaxed geometry.

Density: 5.006 Mg/m³
Total moment: 3.641 μB/f.u.
Formation energy: 15 kJ/mol of atoms

Cell lengths 4.5475, 4.5475, 4.5475 Å; angles 60.00, 60.00, 60.00 degrees
Closest atoms and distances in Å follow each position.
Fractional coordinates of all 6 atoms:
Cd  0.7500  0.7500  0.7500  12 Be 2.67, 4 Cr 2.78
Cr  0.0000  0.0000  0.0000  12 Be 2.66, 4 Cd 2.78
Be  0.3726  0.3726  0.3726  6 Be 2.23-2.32
Be  0.8822  0.3726  0.3726  6 Be 2.23-2.32
Be  0.3726  0.8822  0.3726  6 Be 2.23-2.32
Be  0.3726  0.3726  0.8822  6 Be 2.23-2.32

DFT (PBE) results for crystalline TaRhCl2 at its relaxed geometry.

Density: 9.606 Mg/m³
Formation energy without anion corrections: 1.84 eV/f.u.
Total moment: 0.000 μB/f.u.

Cell lengths 4.4264, 4.4264, 4.4264 Å; angles 60.00, 60.00, 60.00 degrees
Closest atoms and distances in Å follow each position.
Fractional coordinates of all 4 atoms:
Cl  0.7500  0.7500  0.7500  4 Ta 2.71, 4 Rh 2.71
Cl  0.2500  0.2500  0.2500  4 Ta 2.71, 4 Rh 2.71
Ta  0.5000  0.5000  0.5000  8 Cl 2.71
Rh  0.0000  0.0000  0.0000  8 Cl 2.71

DFT (PBE) results for crystalline Sb2Pt2S at its relaxed geometry.

Density: 10.179 Mg/m³
Formation energy without anion corrections: -0.61 eV/f.u.
Total moment: 0.000 μB/f.u.

Cell lengths 3.8683, 3.8683, 7.7561 Å; angles 75.56, 75.56, 90.00 degrees
Closest atoms and distances in Å follow each position.
Fractional coordinates of all 5 atoms:
Pt  0.7500  0.2500  0.5000  4 Pt 2.74, 4 Sb 2.75
Pt  0.2500  0.7500  0.5000  4 Pt 2.74, 4 Sb 2.75
S  0.0000  0.0000  0.0000  8 Sb 3.21
Sb  0.3843  0.3843  0.2314  4 Pt 2.75
Sb  0.6157  0.6157  0.7687  4 Pt 2.75

DFT (PBE) results for crystalline KCo3Ir at its relaxed geometry.

Density: 6.378 Mg/m³
Total moment: 6.779 μB/f.u.
Formation energy: 106 kJ/mol of atoms

Cell lengths 4.7364, 4.7364, 4.7364 Å; angles 90.00, 90.00, 90.00 degrees
Closest atoms and distances in Å follow each position.
Fractional coordinates of all 5 atoms:
Co  0.5000  0.0000  0.0000  2 Ir 2.37
Co  0.0000  0.5000  0.0000  2 Ir 2.37
Co  0.0000  0.0000  0.5000  2 Ir 2.37
K  0.5000  0.5000  0.5000  12 Co 3.35
Ir  0.0000  0.0000  0.0000  6 Co 2.37

DFT (PBE) results for crystalline Bi2SbPd3 at its relaxed geometry.

Density: 10.564 Mg/m³
Formation energy without anion corrections: -2.12 eV/f.u.
Total moment: 0.000 μB/f.u.

Cell lengths 5.7473, 7.4923, 7.3051 Å; angles 120.85, 90.00, 90.00 degrees
Closest atoms and distances in Å follow each position.
Fractional coordinates of all 12 atoms:
Pd  0.9849  0.9998  0.0000  2 Sb 2.75, 2 Pd 2.87, 4 Bi 2.89
Pd  0.4850  0.6488  0.2980  2 Sb 2.74, 2 Pd 2.87, 4 Bi 2.90-2.92
Pd  0.4849  0.0002  0.0000  2 Sb 2.75, 2 Pd 2.87, 4 Bi 2.89
Pd  0.9850  0.3512  0.7020  2 Sb 2.74, 2 Pd 2.87, 4 Bi 2.90-2.92
Pd  0.9850  0.6491  0.2980  2 Sb 2.74, 2 Pd 2.87, 4 Bi 2.90-2.92
Pd  0.4850  0.3509  0.7020  2 Sb 2.74, 2 Pd 2.87, 4 Bi 2.90-2.92
Bi  0.7352  0.3400  0.3478  6 Pd 2.89-2.92
Bi  0.2352  0.6600  0.6522  6 Pd 2.89-2.92
Bi  0.7352  0.9922  0.6522  6 Pd 2.89-2.92
Bi  0.2352  0.0078  0.3478  6 Pd 2.89-2.92
Sb  0.2347  0.3135  0.0000  6 Pd 2.74-2.75
Sb  0.7347  0.6865  0.0000  6 Pd 2.74-2.75

DFT (PBE) results for crystalline NdAl3Pb2O8 at its relaxed geometry.

Density: 5.703 Mg/m³
Formation energy without anion corrections: -36.10 eV/f.u.
Total moment: 0.000 μB/f.u.

Cell lengths 9.6332, 9.6332, 9.6332 Å; angles 90.00, 90.00, 90.00 degrees
Closest atoms and distances in Å follow each position.
Fractional coordinates of all 56 atoms:
O  0.5138  0.8437  0.8437  2 Al 1.76
O  0.8437  0.5138  0.8437  2 Al 1.76
O  0.8908  0.8908  0.8908  1 Nd 2.35, 3 Pb 2.35
O  0.6092  0.6092  0.6092  1 Nd 2.35, 3 Pb 2.35
O  0.9862  0.3437  0.3437  2 Al 1.76
O  0.8437  0.1563  0.4862  2 Al 1.76
O  0.9862  0.6563  0.6563  2 Al 1.76
O  0.1563  0.5138  0.1563  2 Al 1.76
O  0.1563  0.8437  0.4862  2 Al 1.76
O  0.6563  0.3437  0.0138  2 Al 1.76
O  0.6563  0.9862  0.6563  2 Al 1.76
O  0.3908  0.3908  0.6092  1 Nd 2.35, 3 Pb 2.35
O  0.1092  0.8908  0.1092  1 Nd 2.35, 3 Pb 2.35
O  0.8908  0.1092  0.1092  1 Nd 2.35, 3 Pb 2.35
O  0.6092  0.3908  0.3908  1 Nd 2.35, 3 Pb 2.35
O  0.4862  0.1563  0.8437  2 Al 1.76
O  0.3908  0.6092  0.3908  1 Nd 2.35, 3 Pb 2.35
O  0.5138  0.1563  0.1563  2 Al 1.76
O  0.3437  0.0138  0.6563  2 Al 1.76
O  0.8437  0.4862  0.1563  2 Al 1.76
O  0.6563  0.6563  0.9862  2 Al 1.76
O  0.4862  0.8437  0.1563  2 Al 1.76
O  0.6563  0.0138  0.3437  2 Al 1.76
O  0.3437  0.6563  0.0138  2 Al 1.76
O  0.0138  0.6563  0.3437  2 Al 1.76
O  0.1563  0.1563  0.5138  2 Al 1.76
O  0.3437  0.9862  0.3437  2 Al 1.76
O  0.8437  0.8437  0.5138  2 Al 1.76
O  0.1092  0.1092  0.8908  1 Nd 2.35, 3 Pb 2.35
O  0.3437  0.3437  0.9862  2 Al 1.76
O  0.0138  0.3437  0.6563  2 Al 1.76
O  0.1563  0.4862  0.8437  2 Al 1.76
Al  0.0000  0.7500  0.5000  4 O 1.76
Al  0.0000  0.2500  0.5000  4 O 1.76
Al  0.2500  0.5000  0.0000  4 O 1.76
Al  0.0000  0.5000  0.2500  4 O 1.76
Al  0.5000  0.7500  0.0000  4 O 1.76
Al  0.5000  0.0000  0.2500  4 O 1.76
Al  0.2500  0.0000  0.5000  4 O 1.76
Al  0.5000  0.2500  0.0000  4 O 1.76
Al  0.7500  0.0000  0.5000  4 O 1.76
Al  0.5000  0.0000  0.7500  4 O 1.76
Al  0.0000  0.5000  0.7500  4 O 1.76
Al  0.7500  0.5000  0.0000  4 O 1.76
Nd  0.7500  0.2500  0.2500  8 O 2.35-2.61
Nd  0.2500  0.2500  0.7500  8 O 2.35-2.61
Nd  0.7500  0.7500  0.7500  8 O 2.35-2.61
Nd  0.2500  0.7500  0.2500  8 O 2.35-2.61
Pb  0.1327  0.1327  0.1327  3 O 2.35
Pb  0.6327  0.6327  0.3673  3 O 2.35
Pb  0.6327  0.3673  0.6327  3 O 2.35
Pb  0.3673  0.3673  0.3673  3 O 2.35
Pb  0.3673  0.6327  0.6327  3 O 2.35
Pb  0.8673  0.1327  0.8673  3 O 2.35
Pb  0.8673  0.8673  0.1327  3 O 2.35
Pb  0.1327  0.8673  0.8673  3 O 2.35

DFT (PBE) results for crystalline CaLa6Y12 at its relaxed geometry.

Density: 4.936 Mg/m³
Total moment: 0.001 μB/f.u.
Formation energy: 4 kJ/mol of atoms

Cell lengths 8.9579, 9.6472, 9.6472 Å; angles 69.13, 71.97, 108.03 degrees
Closest atoms and distances in Å follow each position.
Fractional coordinates of all 19 atoms:
Y  0.2653  0.4249  0.6281  6 Y 3.60-3.70, 5 La 3.61-3.67, 1 Ca 3.68
Y  0.5216  0.8414  0.2645  7 Y 3.60-3.70, 4 La 3.62-3.66, 1 Ca 3.69
Y  0.7347  0.5751  0.3719  6 Y 3.60-3.70, 5 La 3.61-3.67, 1 Ca 3.68
Y  0.7861  0.2645  0.8941  7 Y 3.60-3.70, 4 La 3.62-3.66, 1 Ca 3.69
Y  0.1596  0.0529  0.5751  6 Y 3.60-3.70, 5 La 3.61-3.67, 1 Ca 3.68
Y  0.4784  0.1586  0.7355  7 Y 3.60-3.70, 4 La 3.62-3.66, 1 Ca 3.69
Y  0.3198  0.1059  0.1586  7 Y 3.60-3.70, 4 La 3.62-3.66, 1 Ca 3.69
Y  0.8934  0.6281  0.9471  6 Y 3.60-3.70, 5 La 3.61-3.67, 1 Ca 3.68
Y  0.2139  0.7355  0.1059  7 Y 3.60-3.70, 4 La 3.62-3.66, 1 Ca 3.69
Y  0.6802  0.8941  0.8414  7 Y 3.60-3.70, 4 La 3.62-3.66, 1 Ca 3.69
Y  0.1066  0.3719  0.0529  6 Y 3.60-3.70, 5 La 3.61-3.67, 1 Ca 3.68
Y  0.8404  0.9471  0.4249  6 Y 3.60-3.70, 5 La 3.61-3.67, 1 Ca 3.68
Ca  0.0000  0.0000  0.0000  12 Y 3.68-3.69
La  0.6360  0.2112  0.3130  9 Y 3.61-3.67, 3 La 3.66-3.67
La  0.3640  0.7888  0.6870  9 Y 3.61-3.67, 3 La 3.66-3.67
La  0.9490  0.3130  0.4758  9 Y 3.61-3.67, 3 La 3.66-3.67
La  0.5752  0.5242  0.7888  9 Y 3.61-3.67, 3 La 3.66-3.67
La  0.4248  0.4758  0.2112  9 Y 3.61-3.67, 3 La 3.66-3.67
La  0.0510  0.6870  0.5242  9 Y 3.61-3.67, 3 La 3.66-3.67

DFT (PBE) results for crystalline Nd5Dy2Y2 at its relaxed geometry.

Density: 6.602 Mg/m³
Total moment: 0.000 μB/f.u.
Formation energy: 16 kJ/mol of atoms

Cell lengths 12.9374, 6.2669, 10.4568 Å; angles 107.44, 128.21, 90.00 degrees
Closest atoms and distances in Å follow each position.
Fractional coordinates of all 18 atoms:
Y  0.8177  0.3786  0.7323  6 Nd 3.45-3.64, 2 Dy 3.49-3.53, 1 Y 3.53
Y  0.5853  0.1462  0.2677  6 Nd 3.45-3.64, 2 Dy 3.49-3.53, 1 Y 3.53
Y  0.1823  0.6462  0.2677  6 Nd 3.45-3.64, 2 Dy 3.49-3.53, 1 Y 3.53
Y  0.4147  0.8786  0.7323  6 Nd 3.45-3.64, 2 Dy 3.49-3.53, 1 Y 3.53
Dy  0.8055  0.7006  0.5000  5 Nd 3.37-3.66, 2 Y 3.53
Dy  0.5000  0.5705  0.0000  2 Nd 3.27, 2 Y 3.49
Dy  0.1945  0.2006  0.5000  5 Nd 3.37-3.66, 2 Y 3.53
Dy  0.0000  0.0705  0.0000  2 Nd 3.27, 2 Y 3.49
Nd  0.3290  0.1527  0.2877  5 Nd 3.22-3.61, 2 Dy 3.27-3.52, 2 Y 3.45-3.58
Nd  0.9284  0.1741  0.5000  3 Dy 3.37-3.66, 6 Nd 3.44-3.76, 2 Y 3.47
Nd  0.5413  0.3650  0.7123  5 Nd 3.22-3.61, 2 Dy 3.27-3.52, 2 Y 3.45-3.58
Nd  0.1534  0.6251  0.9019  6 Nd 3.37-3.76, 2 Y 3.57-3.64, 1 Dy 3.69
Nd  0.6710  0.8650  0.7123  5 Nd 3.22-3.61, 2 Dy 3.27-3.52, 2 Y 3.45-3.58
Nd  0.0716  0.6741  0.5000  3 Dy 3.37-3.66, 6 Nd 3.44-3.76, 2 Y 3.47
Nd  0.4587  0.6527  0.2877  5 Nd 3.22-3.61, 2 Dy 3.27-3.52, 2 Y 3.45-3.58
Nd  0.2485  0.1251  0.9019  6 Nd 3.37-3.76, 2 Y 3.57-3.64, 1 Dy 3.69
Nd  0.7515  0.2232  0.0981  6 Nd 3.37-3.76, 2 Y 3.57-3.64, 1 Dy 3.69
Nd  0.8466  0.7232  0.0982  6 Nd 3.37-3.76, 2 Y 3.57-3.64, 1 Dy 3.69

DFT (PBE) results for crystalline BaSrS2 at its relaxed geometry.

Density: 4.469 Mg/m³
Formation energy without anion corrections: -7.35 eV/f.u.
Total moment: 0.000 μB/f.u.

Cell lengths 5.3356, 5.3356, 5.3356 Å; angles 60.00, 60.00, 60.00 degrees
Closest atoms and distances in Å follow each position.
Fractional coordinates of all 4 atoms:
S  0.7500  0.7500  0.7500  4 Ba 3.27, 4 Sr 3.27
S  0.2500  0.2500  0.2500  4 Ba 3.27, 4 Sr 3.27
Sr  0.0000  0.0000  0.0000  8 S 3.27
Ba  0.5000  0.5000  0.5000  8 S 3.27

DFT (PBE) results for crystalline Si2PCl at its relaxed geometry.

Density: 2.886 Mg/m³
Formation energy without anion corrections: 1.69 eV/f.u.
Total moment: 0.000 μB/f.u.

Cell lengths 4.5140, 4.5140, 4.5091 Å; angles 69.09, 69.09, 106.70 degrees
Closest atoms and distances in Å follow each position.
Fractional coordinates of all 4 atoms:
Si  0.5000  0.5000  0.0000  2 Cl 2.56, 2 P 2.56, 2 Si 2.69
Si  0.0000  0.0000  0.0000  2 P 2.56, 2 Cl 2.56, 2 Si 2.69
Cl  0.5000  0.0000  0.5000  4 Si 2.56, 2 P 2.69
P  0.0000  0.5000  0.5000  4 Si 2.56, 2 Cl 2.69

Repeat the fourth record exactly.
DFT (PBE) results for crystalline TaRhCl2 at its relaxed geometry.

Density: 9.606 Mg/m³
Formation energy without anion corrections: 1.84 eV/f.u.
Total moment: 0.000 μB/f.u.

Cell lengths 4.4264, 4.4264, 4.4264 Å; angles 60.00, 60.00, 60.00 degrees
Closest atoms and distances in Å follow each position.
Fractional coordinates of all 4 atoms:
Cl  0.7500  0.7500  0.7500  4 Ta 2.71, 4 Rh 2.71
Cl  0.2500  0.2500  0.2500  4 Ta 2.71, 4 Rh 2.71
Ta  0.5000  0.5000  0.5000  8 Cl 2.71
Rh  0.0000  0.0000  0.0000  8 Cl 2.71

- What is the total moment in the twelfth record?
  0.000 μB/f.u.